Crystalline Zn2SnBi at its relaxed geometry. Source: Alexandria via LeMat-Bulk, functional PBE.

Results
- E above lowest polymorph (eV/f.u.) = 0.182
- formation energy (eV per atom) = 0.175

Cell lengths 7.200, 7.200, 7.200 Å; angles 90.00, 90.00, 90.00 degrees
Space group Fm-3m (No. 225)
Asymmetric unit:
Zn (0.250, 0.250, 0.250) x8
Sn (0.000, 0.000, 0.000) x4
Bi (0.000, 0.000, 0.500) x4

---

Crystalline HfTa2Os2 at its relaxed geometry. Source: Alexandria via LeMat-Bulk, functional PBE.

Results
- E above lowest polymorph (eV/f.u.) = 0.155
- formation energy (eV per atom) = -0.096

Cell lengths 4.285, 4.285, 10.711 Å; angles 90.00, 90.00, 90.00 degrees
Space group I4/mmm (No. 139)
Asymmetric unit:
Hf (0.000, 0.000, 0.000) x2
Ta (0.000, 0.500, 0.250) x4
Os (0.000, 0.000, 0.385) x4

---

Crystalline Tb2EuHo at its relaxed geometry. Source: Alexandria via LeMat-Bulk, functional PBE.

Results
- E above lowest polymorph (eV/f.u.) = 0.439
- formation energy (eV per atom) = 0.163

Cell lengths 8.122, 8.122, 8.122 Å; angles 90.00, 90.00, 90.00 degrees
Space group Fm-3m (No. 225)
Asymmetric unit:
Tb (0.250, 0.250, 0.250) x8
Eu (0.000, 0.000, 0.000) x4
Ho (0.000, 0.000, 0.500) x4

---

Crystalline Tm2Ga2Cu at its relaxed geometry. Source: Alexandria via LeMat-Bulk, functional PBE.

Results
- E above lowest polymorph (eV/f.u.) = 0.944
- formation energy (eV per atom) = -0.370

Cell lengths 6.190, 12.124, 5.846 Å; angles 90.00, 90.00, 90.00 degrees
Space group Ibam (No. 72)
Asymmetric unit:
Tm (0.214, 0.151, 0.000) x8
Ga (0.240, 0.395, 0.000) x8
Cu (0.000, 0.500, 0.250) x4

---

Crystalline InFeTc2Ge at its relaxed geometry. Source: Alexandria via LeMat-Bulk, functional PBE.

Results
- formation energy (eV per atom) = 1.997

Cell lengths 4.981, 4.981, 4.700 Å; angles 90.00, 90.00, 90.00 degrees
Space group P4/mmm (No. 123)
Asymmetric unit:
In (0.000, 0.000, 0.000) x1
Fe (0.000, 0.000, 0.500) x1
Tc (0.000, 0.500, 0.000) x2
Ge (0.500, 0.500, 0.500) x1

---

Crystalline FeAs3Cl at its relaxed geometry. Source: Alexandria via LeMat-Bulk, functional PBE.

Results
- E above lowest polymorph (eV/f.u.) = 0.000
- formation energy from raw total energies (meV/atom) = 359

Cell lengths 4.636, 4.636, 4.636 Å; angles 90.00, 90.00, 90.00 degrees
Space group Pm-3m (No. 221)
Asymmetric unit:
Fe (0.000, 0.000, 0.000) x1
As (0.000, 0.000, 0.500) x3
Cl (0.500, 0.500, 0.500) x1

---

Crystalline CoPtSe4 at its relaxed geometry. Source: Alexandria via LeMat-Bulk, functional PBE.

Results
- E above lowest polymorph (eV/f.u.) = 0.023
- formation energy from raw total energies (meV/atom) = -330

Cell lengths 12.007, 3.673, 6.386 Å; angles 90.00, 121.88, 90.00 degrees
Space group C2/m (No. 12)
Asymmetric unit:
Co (0.000, 0.000, 0.000) x2
Pt (0.000, 0.500, 0.500) x2
Se (0.119, 0.500, 0.966) x4
Se (0.124, 0.000, 0.439) x4

---

Crystalline Re2Hg2I at its relaxed geometry. Source: Alexandria via LeMat-Bulk, functional PBE.

Results
- E above lowest polymorph (eV/f.u.) = 1.460
- formation energy from raw total energies (meV/atom) = 1152

Cell lengths 9.194, 9.194, 2.780 Å; angles 90.00, 90.00, 90.00 degrees
Space group P4/mbm (No. 127)
Asymmetric unit:
Re (0.088, 0.412, 0.000) x4
Hg (0.198, 0.698, 0.500) x4
I (0.000, 0.000, 0.500) x2

---

Crystalline Tb6Nd2Tm at its relaxed geometry. Source: Alexandria via LeMat-Bulk, functional PBE.

Results
- E above lowest polymorph (eV/f.u.) = 0.000
- formation energy (eV per atom) = 0.196

Cell lengths 17.744, 10.015, 3.456 Å; angles 90.00, 100.83, 90.00 degrees
Space group C2/m (No. 12)
Asymmetric unit:
Tb (0.000, 0.193, 0.000) x4
Tb (0.166, 0.312, 0.665) x8
Nd (0.168, 0.000, 0.167) x4
Tm (0.000, 0.500, 0.500) x2

---

Crystalline KPm3Ir at its relaxed geometry. Source: Alexandria via LeMat-Bulk, functional PBE.

Results
- formation energy (eV per atom) = -0.127

Cell lengths 5.691, 5.691, 5.691 Å; angles 90.00, 90.00, 90.00 degrees
Space group Pm-3m (No. 221)
Asymmetric unit:
K (0.000, 0.000, 0.000) x1
Pm (0.000, 0.500, 0.500) x3
Ir (0.500, 0.500, 0.500) x1

---

Crystalline Tb3TmCd4 at its relaxed geometry. Source: Alexandria via LeMat-Bulk, functional PBE.

Results
- formation energy (eV per atom) = -0.318

Cell lengths 5.270, 5.270, 7.558 Å; angles 90.00, 90.00, 90.00 degrees
Space group P4/mmm (No. 123)
Asymmetric unit:
Tb (0.000, 0.000, 0.000) x1
Tb (0.000, 0.000, 0.500) x1
Tb (0.500, 0.500, 0.000) x1
Tm (0.500, 0.500, 0.500) x1
Cd (0.000, 0.500, 0.254) x4

---

Crystalline Tb3Ce2TmSb6 at its relaxed geometry. Source: Alexandria via LeMat-Bulk, functional PBE.

Results
- formation energy from raw total energies (meV/atom) = -1099

Cell lengths 19.275, 4.429, 8.847 Å; angles 90.00, 103.29, 90.00 degrees
Space group C2/m (No. 12)
Asymmetric unit:
Tb (0.000, 0.000, 0.000) x2
Tb (0.168, 0.500, 0.334) x4
Ce (0.165, 0.500, 0.831) x4
Tm (0.000, 0.000, 0.500) x2
Sb (0.002, 0.500, 0.254) x4
Sb (0.165, 0.000, 0.579) x4
Sb (0.166, 0.000, 0.086) x4

---

Crystalline Sr2ScUN4 at its relaxed geometry. Source: Alexandria via LeMat-Bulk, functional PBE.

Results
- formation energy from raw total energies (meV/atom) = -1274

Cell lengths 5.879, 3.539, 6.234 Å; angles 90.00, 107.86, 90.00 degrees
Space group P2/m (No. 10)
Asymmetric unit:
Sr (0.000, 0.000, 0.000) x1
Sr (0.500, 0.500, 0.000) x1
Sc (0.000, 0.500, 0.500) x1
U (0.500, 0.000, 0.500) x1
N (0.249, 0.000, 0.696) x2
N (0.270, 0.500, 0.304) x2

---

Crystalline TlCrAs4 at its relaxed geometry. Source: Alexandria via LeMat-Bulk, functional PBE.

Results
- formation energy (eV per atom) = 0.456

Cell lengths 8.072, 8.072, 8.072 Å; angles 90.00, 90.00, 90.00 degrees
Space group F-43m (No. 216)
Asymmetric unit:
Tl (0.000, 0.000, 0.000) x4
Cr (0.250, 0.250, 0.250) x4
As (0.124, 0.124, 0.624) x16

---

Crystalline Sm2ZnHg8 at its relaxed geometry. Source: Alexandria via LeMat-Bulk, functional PBE.

Results
- E above lowest polymorph (eV/f.u.) = 0.000
- formation energy (eV per atom) = -0.257

Cell lengths 4.672, 4.672, 12.474 Å; angles 90.00, 90.00, 90.00 degrees
Space group P4/mmm (No. 123)
Asymmetric unit:
Sm (0.000, 0.000, 0.194) x2
Zn (0.000, 0.000, 0.500) x1
Hg (0.000, 0.500, 0.000) x2
Hg (0.000, 0.500, 0.373) x4
Hg (0.500, 0.500, 0.188) x2

---

Crystalline Mn2Ni2Bi at its relaxed geometry. Source: Alexandria via LeMat-Bulk, functional PBE.

Results
- formation energy (eV per atom) = 0.289

Cell lengths 7.309, 7.309, 2.983 Å; angles 90.00, 90.00, 90.00 degrees
Space group P4/mbm (No. 127)
Asymmetric unit:
Mn (0.138, 0.362, 0.000) x4
Ni (0.142, 0.642, 0.500) x4
Bi (0.000, 0.000, 0.000) x2

---

Crystalline Tb2CeErSc4 at its relaxed geometry. Source: Alexandria via LeMat-Bulk, functional PBE.

Results
- formation energy (eV per atom) = 0.066

Cell lengths 5.902, 3.406, 11.103 Å; angles 90.00, 100.33, 90.00 degrees
Space group P2/m (No. 10)
Asymmetric unit:
Tb (0.000, 0.000, 0.000) x1
Tb (0.000, 0.500, 0.500) x1
Ce (0.500, 0.000, 0.500) x1
Er (0.500, 0.500, 0.000) x1
Sc (0.255, 0.000, 0.749) x2
Sc (0.256, 0.500, 0.252) x2

---

Crystalline Cs2PaBrCl6 at its relaxed geometry. Source: Alexandria via LeMat-Bulk, functional PBE.

Results
- formation energy from raw total energies (meV/atom) = -1831

Cell lengths 8.2072, 8.2072, 41.2515 Å; angles 90.00, 90.00, 120.00 degrees
Space group R-3m (No. 166, hexagonal axes)
Asymmetric unit:
Cs (0.0000, 0.0000, 0.1247) x6
Cs (0.0000, 0.0000, 0.2564) x6
Pa (0.0000, 0.0000, 0.0000) x3
Pa (0.0000, 0.0000, 0.5000) x3
Br (0.0000, 0.0000, 0.4308) x6
Cl (0.0297, 0.5149, 0.8560) x18
Cl (0.0413, 0.5207, 0.7031) x18

---

Crystalline Tb2Th2Cd at its relaxed geometry. Source: Alexandria via LeMat-Bulk, functional PBE.

Results
- formation energy (eV per atom) = -0.129

Cell lengths 3.617, 3.617, 22.771 Å; angles 90.00, 90.00, 90.00 degrees
Space group I4/mmm (No. 139)
Asymmetric unit:
Tb (0.000, 0.000, 0.089) x4
Th (0.000, 0.000, 0.303) x4
Cd (0.000, 0.000, 0.500) x2

---

Crystalline BaTc2Te at its relaxed geometry. Source: Alexandria via LeMat-Bulk, functional PBE.

Results
- formation energy from raw total energies (meV/atom) = 970

Cell lengths 7.176, 7.176, 7.176 Å; angles 90.00, 90.00, 90.00 degrees
Space group F-43m (No. 216)
Asymmetric unit:
Ba (0.000, 0.000, 0.000) x4
Tc (0.000, 0.000, 0.500) x4
Tc (0.250, 0.250, 0.750) x4
Te (0.250, 0.250, 0.250) x4

---

VASP energy values, unit eV for the cell shown, following the record order: -38.92, -113.19, -93.84, -83.77, -26.57, -22.46, -58.13, -42.58, -80.05, -24.85, -24.57, -136.31, -64.48, -111.41, -15.96, -64.68, -44.55, -253.58, -51.32, -87.66.